# YFeCo2

YFeCo2 after structural relaxation (PBE, the Alexandria database).

```
YFeCo2
1.0
4.385 0.000 0.000
2.192 3.797 0.000
2.192 1.266 3.580
Co Y Fe
2 1 1
direct
0.250 0.250 0.250 Co
0.000 0.000 0.000 Co
0.750 0.750 0.750 Y
0.500 0.500 0.500 Fe
```

Calculated values
* density of states at the Fermi level: 4.44 states/eV per cell
* energy above the lowest structure with this stoichiometry: 316 meV per atom
* space-group type: F-43m (216)
* E_form: 0.244 eV per atom